A geometry-optimized MgSn2TeP structure. Source: Alexandria, functional GGA-PBE.

**Uncorrected formation energy**: 0.814 eV per atom
**Crystal system**: tetragonal
**Density**: 3.91 g/cm3

a = 5.8764 Å, b = 5.8764 Å, c = 5.1686 Å
α = 90.00°, β = 90.00°, γ = 90.00°
Space group P4/mmm (No. 123)
Symmetry-distinct sites (fractional):
Mg 0.0000 0.0000 0.0000 x1
Sn 0.0000 0.5000 0.5000 x2
Te 0.0000 0.0000 0.5000 x1
P 0.5000 0.5000 0.0000 x1

---

A geometry-optimized RhSeBr2 structure. Source: Alexandria, functional GGA-PBE.

**Uncorrected formation energy**: 0.142 eV per atom
**Crystal system**: orthorhombic
**Density**: 5.47 g/cm3

a = 3.1999 Å, b = 4.6703 Å, c = 13.8714 Å
α = 90.00°, β = 90.00°, γ = 90.00°
Space group Immm (No. 71)
Symmetry-distinct sites (fractional):
Rh 0.0000 0.0000 0.0000 x2
Se 0.0000 0.0000 0.5000 x2
Br 0.0000 0.5000 0.3551 x4

---

| no. | electronic total energy (eV per atom) |
| --- | --- |
| 1 | -2.816 |
| 2 | -3.404 |